(1)
Computed, not measured: a relaxed structure of MgBePt2 at the GGA-PBEsol level of DFT.

Energy relative to the elements (eV per atom): -0.7975
SG: P4/mmm

abc: 2.817 2.817 6.684
angles: 90.00 90.00 90.00
Positions (direct):
Be  0.500  0.500  0.000
Mg  0.500  0.500  0.500
Pt  0.000  0.000  0.788
Pt  0.000  0.000  0.212

---

(2)
Computed, not measured: a relaxed structure of SrBAs2Se at the GGA-PBEsol level of DFT.

SG: P4/mmm
Energy relative to the elements, uncorrected (eV per formula unit): 8.73

abc: 5.544 5.539 5.539
angles: 90.00 90.00 90.00
Positions (direct):
Sr  0.000  0.000  0.000
As  0.000  0.000  0.500
As  0.000  0.500  0.000
B  0.500  0.500  0.500
Se  0.500  0.000  0.000